Material: ZnP2Ir
Method: DFT, GGA-PBE
State: optimized geometry

The structure in POSCAR format:
```
ZnP2Ir
1.0
-1.3557 1.6551 2.0240
-1.9641 -3.1675 1.2746
3.8204 -1.0077 3.3828
Zn Ir P
1 1 2
Direct
0.0000 0.0000 0.4174
0.5000 0.5000 0.8553
0.0000 0.0000 0.9109
0.5000 0.5000 0.3164
```

Computed properties:
Energy of formation from the pure elements, eV/atom: 0.11
SG: Pmm2, No. 25


Material: ZnPIr2
Method: DFT, GGA-PBE
State: optimized geometry

The structure in POSCAR format:
```
ZnPIr2
1.0
1.0740 -3.5859 -3.3022
1.3712 -1.3966 4.5920
-1.6327 -2.2312 0.6802
Zn Ir P
1 2 1
Direct
0.5000 0.5000 0.0000
0.5000 0.0000 0.0000
0.0000 0.5000 0.0000
0.0000 0.0000 0.0000
```

Computed properties:
Energy of formation from the pure elements, eV/atom: 0.11
SG: C2/m, No. 12
Excess energy over the best structure of this formula in the dataset, kJ/mol of atoms: 29.11


Material: ZnPIr2
Method: DFT, GGA-PBE
State: optimized geometry

The structure in POSCAR format:
```
ZnPIr2
1.0
-2.8022 -0.8694 -3.6961
-2.2224 -3.4148 -2.3810
-4.2130 -0.1008 1.6620
Zn P Ir
1 1 2
Direct
0.2602 0.2602 0.1808
0.4841 0.4841 0.5326
0.0010 0.0010 0.1058
0.7547 0.7547 0.6808
```

Computed properties:
Energy of formation from the pure elements, eV/atom: -0.10
SG: Cm, No. 8
Excess energy over the best structure of this formula in the dataset, kJ/mol of atoms: 8.35


Material: ZnP2Ir
Method: DFT, GGA-PBE
State: optimized geometry

The structure in POSCAR format:
```
ZnP2Ir
1.0
4.7009 -0.0146 0.0000
1.5525 4.4372 0.0000
-3.1267 -2.2113 2.7263
Zn Ir P
1 1 2
Direct
0.5000 0.5000 0.0000
0.7500 0.2500 0.5000
0.0000 0.0000 0.0000
0.2500 0.7500 0.5000
```

Computed properties:
Energy of formation from the pure elements, eV/atom: 0.32
SG: I-4m2, No. 119


Material: ZnP4Ir
Method: DFT, GGA-PBE
State: optimized geometry

The structure in POSCAR format:
```
ZnP4Ir
1.0
0.0000 3.5457 3.5457
3.5457 0.0000 3.5457
3.5457 3.5457 0.0000
Ir Zn P
1 1 4
Direct
0.0000 0.0000 0.0000
0.2500 0.2500 0.2500
0.6214 0.6214 0.1357
0.6214 0.1357 0.6214
0.1357 0.6214 0.6214
0.6214 0.6214 0.6214
```

Computed properties:
Energy of formation from the pure elements, eV/atom: 0.79
SG: F-43m, No. 216


Material: ZnP2Ir
Method: DFT, GGA-PBE
State: optimized geometry

The structure in POSCAR format:
```
ZnP2Ir
1.0
-3.4459 -2.1400 -1.0530
1.8145 -2.3626 2.9476
-2.3921 0.1953 3.1562
Ir Zn P
1 1 2
Direct
0.0000 0.5000 0.5000
0.5000 0.0000 0.5000
0.0000 0.0000 0.0000
0.5000 0.5000 0.0000
```

Computed properties:
Energy of formation from the pure elements, eV/atom: 0.22
SG: C2/m, No. 12


Material: ZnPIr2
Method: DFT, GGA-PBE
State: optimized geometry

The structure in POSCAR format:
```
ZnPIr2
1.0
7.8969 -1.4426 0.0090
7.8969 1.4426 0.0090
7.6305 0.0000 2.4933
Ir P Zn
2 1 1
Direct
0.2410 0.2410 0.2410
0.7590 0.7590 0.7590
0.5000 0.5000 0.5000
0.0000 0.0000 0.0000
```

Computed properties:
Energy of formation from the pure elements, eV/atom: -0.19
SG: R-3m, No. 166
Excess energy over the best structure of this formula in the dataset, kJ/mol of atoms: 0.00


Material: ZnPIr2
Method: DFT, GGA-PBE
State: optimized geometry

The structure in POSCAR format:
```
ZnPIr2
1.0
-4.1736 0.5087 0.5835
-3.6612 -0.3434 -2.1204
-1.3197 -4.6556 1.2169
P Ir Zn
1 2 1
Direct
0.0000 0.0000 0.5000
0.7432 0.7432 0.2682
0.2568 0.2568 0.7318
0.5000 0.5000 0.0000
```

Computed properties:
Energy of formation from the pure elements, eV/atom: -0.09
SG: C2/m, No. 12
Excess energy over the best structure of this formula in the dataset, kJ/mol of atoms: 9.24


| no. | size of the total moment (μB per atom) |
| --- | --- |
| 1 | 0.0000 |
| 2 | 0.0000 |
| 3 | 0.0000 |
| 4 | 0.0000 |
| 5 | 0.0000 |
| 6 | 0.0000 |
| 7 | 0.0000 |
| 8 | 0.0000 |